Material: K2SnHgSe4
Method: DFT, meta-GGA SCAN
State: PBEsol geometry

POSCAR file:
```
K2SnHgSe4
1.0
-3.989 3.989 3.481
3.989 -3.989 3.481
3.989 3.989 -3.481
K Sn Hg Se
2 1 1 4
direct
0.000 0.500 0.500
0.500 0.000 0.500
0.000 0.000 0.000
0.500 0.500 0.000
0.058 0.409 0.000
0.409 0.058 0.000
0.591 0.591 0.649
0.942 0.942 0.351
```

Results
N(E_F): 0.00 states/eV per cell
Uncorrected formation energy: -0.824 eV/atom
Calculated volume: 221.6 Å³/cell
Total DFT energy (no corrections): -1.9077 Ry/atom